VASP calculation (PBE) on an optimized crystal structure of PrHo3Tl3.

a = 9.495 Å, b = 9.495 Å, c = 5.238 Å
α = 90.00°, β = 90.00°, γ = 120.00°
Positions (direct):
Pr  0.333  0.667  0.250
Pr  0.667  0.333  0.750
Ho  0.001  0.769  0.750
Ho  0.231  0.001  0.250
Ho  0.231  0.231  0.750
Ho  0.769  0.769  0.250
Ho  0.769  0.999  0.750
Ho  0.999  0.231  0.250
Tl  0.071  0.447  0.750
Tl  0.376  0.929  0.750
Tl  0.447  0.376  0.250
Tl  0.553  0.624  0.750
Tl  0.624  0.071  0.250
Tl  0.929  0.553  0.250

Symmetry: P6_3/m, No. 176
E above lowest polymorph (eV/atom): 0.0000
Formation energy from the elements (eV/atom): -0.254